[1]
Entry from Alexandria: a relaxed structure of KLiCo2 (GGA-PBEsol).

Final energy ... -3.19 eV/atom
Space group ... Fm-3m (225)
Relative energy among the computed polymorphs ... 0.565 eV/atom

a = 4.6380 Å, b = 4.6380 Å, c = 4.6380 Å
α = 60.00°, β = 60.00°, γ = 60.00°
Each line ends with the local moment (μB).
Element x y z (fractional)
Co 0.2500 0.2500 0.2500  1.71
Co 0.7500 0.7500 0.7500  1.71
K 0.0000 0.0000 0.0000  -0.02
Li 0.5000 0.5000 0.5000  -0.02

=====

[2]
Entry from Alexandria: a relaxed structure of MoHI3 (GGA-PBEsol).

Final energy ... -3.39 eV/atom
Space group ... Pm-3m (221)

a = 5.5217 Å, b = 5.5217 Å, c = 5.5217 Å
α = 90.00°, β = 90.00°, γ = 90.00°
Each line ends with the local moment (μB).
Element x y z (fractional)
H 0.5000 0.5000 0.5000  0.36
I 0.0000 0.0000 0.5000  0.06
I 0.0000 0.5000 0.0000  0.06
I 0.5000 0.0000 0.0000  0.06
Mo 0.0000 0.0000 0.0000  2.35

=====

[3]
Entry from Alexandria: a relaxed structure of ZrPWCl2 (GGA-PBEsol).

Final energy ... -6.07 eV/atom
Space group ... P4/mmm (123)
Uncorrected formation energy ... 472 meV/atom

a = 4.5669 Å, b = 4.5669 Å, c = 4.8515 Å
α = 90.00°, β = 90.00°, γ = 90.00°
Each line ends with the local moment (μB).
Element x y z (fractional)
Zr 0.5000 0.5000 0.5000  1.08
W 0.0000 0.0000 0.0000  0.19
P 0.0000 0.0000 0.5000  -0.04
Cl 0.5000 0.0000 0.0000  0.00
Cl 0.0000 0.5000 0.0000  0.00

=====

[4]
Entry from Alexandria: a relaxed structure of LaZnRe2 (GGA-PBEsol).

Final energy ... -7.77 eV/atom
Space group ... C2/m (12)

a = 2.8821 Å, b = 5.0876 Å, c = 5.5046 Å
α = 116.36°, β = 103.29°, γ = 93.96°
Element x y z (fractional)
Zn 0.5000 0.0000 0.0000
La 0.0000 0.5000 0.0000
Re 0.0000 0.0000 0.5000
Re 0.5000 0.5000 0.5000

=====

[5]
Entry from Alexandria: a relaxed structure of Y5Os (GGA-PBEsol).

Final energy ... -7.79 eV/atom
Space group ... C2/m (12)
Relative energy among the computed polymorphs ... 0.000 eV/atom

a = 3.5013 Å, b = 6.3013 Å, c = 8.3067 Å
α = 111.28°, β = 90.00°, γ = 106.13°
Element x y z (fractional)
Y 0.8674 0.7348 0.6310
Y 0.1326 0.2652 0.3690
Y 0.1604 0.3209 0.7809
Y 0.5000 0.0000 0.0000
Y 0.8396 0.6791 0.2191
Os 0.5000 0.0000 0.5000

=====

[6]
Entry from Alexandria: a relaxed structure of LiMg3 (GGA-PBEsol).

Final energy ... -1.80 eV/atom
Space group ... R-3m (166)

a = 3.0393 Å, b = 5.7642 Å, c = 5.7642 Å
α = 116.98°, β = 100.12°, γ = 100.12°
Element x y z (fractional)
Mg 0.5000 0.0000 0.5000
Mg 0.0000 0.5000 0.5000
Mg 0.5000 0.5000 0.0000
Li 0.0000 0.0000 0.0000

=====

[7]
Entry from Alexandria: a relaxed structure of Sm3Mg2TiS8 (GGA-PBEsol).

Final energy ... -6.12 eV/atom
Space group ... R-3m (166)
Uncorrected formation energy ... -1680 meV/atom

a = 7.7043 Å, b = 7.7043 Å, c = 7.7043 Å
α = 61.13°, β = 61.13°, γ = 61.13°
Each line ends with the local moment (μB).
Element x y z (fractional)
Mg 0.8761 0.8761 0.8761  0.01
Mg 0.1239 0.1239 0.1239  0.01
S 0.2669 0.7304 0.7304  -0.01
S 0.2696 0.7331 0.2696  -0.01
S 0.7331 0.2696 0.2696  -0.01
S 0.7304 0.2669 0.7304  -0.01
S 0.2528 0.2528 0.2528  0.00
S 0.7472 0.7472 0.7472  0.00
S 0.7304 0.7304 0.2669  -0.01
S 0.2696 0.2696 0.7331  -0.01
Sm 0.5000 0.0000 0.5000  0.02
Sm 0.5000 0.5000 0.0000  0.02
Sm 0.0000 0.5000 0.5000  0.02
Ti 0.5000 0.5000 0.5000  0.74

=====

[8]
Entry from Alexandria: a relaxed structure of Be2CuPd2 (GGA-PBEsol).

Final energy ... -5.26 eV/atom
Space group ... P4/mbm (127)

a = 2.7726 Å, b = 6.3710 Å, c = 6.3710 Å
α = 90.00°, β = 90.00°, γ = 90.00°
Element x y z (fractional)
Be 0.0000 0.1297 0.3703
Be 0.0000 0.3703 0.8703
Be 0.0000 0.6297 0.1297
Be 0.0000 0.8703 0.6297
Pd 0.5000 0.3341 0.1659
Pd 0.5000 0.6659 0.8341
Pd 0.5000 0.1659 0.6659
Pd 0.5000 0.8341 0.3341
Cu 0.0000 0.5000 0.5000
Cu 0.0000 0.0000 0.0000

=====

Question: What is the final energy in the eighth record?
Answer: -5.26 eV/atom